Record 1
A relaxed CoWCl crystal, computed with GGA-PBE.

abc: 4.0899 4.0899 4.0899
angles: 60.00 60.00 60.00
Positions (direct):
W 0.2500 0.2500 0.2500
Co 0.5000 0.5000 0.5000
Cl 0.0000 0.0000 0.0000

Results
**Distance to the lowest polymorph of the same formula**: 0.648 eV per atom

---

Record 2
A relaxed LaTeW3 crystal, computed with GGA-PBE.

abc: 4.9864 4.9864 4.9864
angles: 90.00 90.00 90.00
Positions (direct):
W 0.0000 0.0000 0.5000
Te 0.0000 0.0000 0.0000
W 0.0000 0.5000 0.0000
W 0.5000 0.0000 0.0000
La 0.5000 0.5000 0.5000

Results
**Distance to the lowest polymorph of the same formula**: 0.000 eV per atom

---

Record 3
A relaxed PrErZnIn crystal, computed with GGA-PBE.

abc: 5.2931 5.2931 5.2931
angles: 60.00 60.00 60.00
Positions (direct):
In 0.5000 0.5000 0.5000
Zn 0.0000 0.0000 0.0000
Er 0.7500 0.7500 0.7500
Pr 0.2500 0.2500 0.2500

Results
**Energy relative to the elements**: -375 meV per atom
**Distance to the lowest polymorph of the same formula**: 0.031 eV per atom

---

Record 4
A relaxed ZrCo2Te crystal, computed with GGA-PBE.

abc: 4.2119 4.2119 8.6651
angles: 75.93 75.93 90.00
Positions (direct):
Te 0.7500 0.2500 0.5000
Zr 0.5000 0.5000 0.0000
Co 0.1071 0.6250 0.2500
Co 0.6429 0.1250 0.2500
Te 0.0000 0.0000 0.0000
Co 0.8750 0.8929 0.7500
Zr 0.2500 0.7500 0.5000
Co 0.3750 0.3571 0.7500

Results
**VASP energy**: -25.16 eV/f.u.

---

Record 5
A relaxed Ca4Er3Se8 crystal, computed with GGA-PBE.

abc: 8.1890 8.1890 8.8581
angles: 62.47 62.47 60.00
Positions (direct):
Ca 0.5000 0.5000 0.5000
Er 0.0000 0.0000 0.5000
Se 0.7647 0.2520 0.7313
Ca 0.3535 0.3535 0.9395
Se 0.7679 0.7679 0.6962
Se 0.2353 0.7480 0.2687
Se 0.7480 0.7480 0.2687
Ca 0.0000 0.0000 0.0000
Er 0.0000 0.5000 0.5000
Se 0.2321 0.2321 0.3038
Se 0.7480 0.2353 0.2687
Er 0.5000 0.0000 0.5000
Se 0.2520 0.7647 0.7313
Se 0.2520 0.2520 0.7313
Ca 0.6465 0.6465 0.0605

Results
**VASP energy**: -76.64 eV/f.u.

---

Record 6
A relaxed K2ScBiS4 crystal, computed with GGA-PBE.

abc: 3.9925 6.9952 7.6815
angles: 107.19 90.00 90.00
Positions (direct):
S 0.5000 0.2550 0.2041
S 0.5000 0.7450 0.7959
S 0.0000 0.2854 0.8051
K 0.0000 0.5000 0.5000
Bi 0.0000 0.0000 0.0000
Sc 0.5000 0.5000 0.0000
S 0.0000 0.7146 0.1949
K 0.5000 0.0000 0.5000

Results
**VASP energy**: -39.05 eV/f.u.

---

Record 7
A relaxed GdScAgAu crystal, computed with GGA-PBE.

abc: 5.0122 5.0122 5.0122
angles: 60.00 60.00 60.00
Site moments in Bohr magnetons follow the coordinates.
Positions (direct):
Sc 0.5000 0.5000 0.5000  0.03
Au 0.7500 0.7500 0.7500  0.00
Ag 0.2500 0.2500 0.2500  0.00
Gd 0.0000 0.0000 0.0000  7.03

Results
**Energy relative to the elements**: -519 meV per atom

---

Record 8
A relaxed TiCuTe3 crystal, computed with GGA-PBE.

abc: 5.0677 5.0677 5.0677
angles: 90.00 90.00 90.00
Positions (direct):
Ti 0.5000 0.5000 0.5000
Te 0.5000 0.0000 0.0000
Te 0.0000 0.0000 0.5000
Cu 0.0000 0.0000 0.0000
Te 0.0000 0.5000 0.0000

Results
**Distance to the lowest polymorph of the same formula**: 0.910 eV per atom